A relaxed structure of La2TcPd. Source: Alexandria, functional PBE. Values from VASP.

Values from the calculation:
The total magnetization is 0.000 μB per formula unit. For the energy of formation, the calculation gives 8 meV per atom. For the density, the calculation gives 8.33 g/cm³. The space-group type is I-42d, No. 122. The density of states at the Fermi level comes out at 1.194 states/eV/atom.

Structure (Quantum ESPRESSO input):
```
&SYSTEM
  ibrav = 0, nat = 8, ntyp = 3
/
ATOMIC_SPECIES
La 138.91 La.upf
Tc 98.00 Tc.upf
Pd 106.42 Pd.upf
CELL_PARAMETERS angstrom
-3.8520 3.8520 3.2404
3.8520 -3.8520 3.2404
3.8520 3.8520 -3.2404
ATOMIC_POSITIONS angstrom
La 1.9260 1.7067 -0.8101
La 2.1453 -1.9260 4.0505
La 1.9260 2.1453 2.4303
La 1.7067 5.7781 0.8101
Tc 0.0000 0.0000 0.0000
Tc 0.0000 3.8520 1.6202
Pd 3.8520 0.0000 1.6202
Pd 0.0000 0.0000 3.2404
```